First-principles (PBE-GGA) data for a geometry-optimized NpCuSi structure, as listed in the Alexandria database.

The structure in CIF format:
```
data_NpCuSi
_space_group_name_H-M_alt 'P 1'
_space_group_IT_number 1
_cell_length_a 2.4907
_cell_length_b 4.6085
_cell_length_c 4.6085
_cell_angle_alpha 120.00
_cell_angle_beta 90.00
_cell_angle_gamma 90.00
loop_
_space_group_symop_operation_xyz
'x,y,z'
loop_
_atom_site_label
_atom_site_fract_x
_atom_site_fract_y
_atom_site_fract_z
Np1 0.6666 0.3333 0.6667
Si1 0.1665 0.0000 0.0000
Cu1 0.1669 0.6667 0.3333
```

Properties
Formation energy without anion corrections   46 meV/atom
Size of the total moment   0.002 μB/cell